No. 1
This record from the Alexandria database describes crystalline TlCd2Co at its relaxed geometry. The functional is GGA-PBEsol.

Cell: 5.1354 5.1354 5.1354 Å, 132.56 132.56 69.35°
Fractional coordinates of all 4 atoms:
Tl  0.0000  0.0000  0.0000
Cd  0.5000  0.5000  0.0000
Cd  0.7500  0.2500  0.5000
Co  0.2500  0.7500  0.5000

Properties
Volume = 72.1 Å³ per cell
Fermi-level density of states = 2.96 states/eV/cell
ΔE_f = 0.381 eV per atom



No. 2
This record from the Alexandria database describes crystalline CdCoW2 at its relaxed geometry. The functional is GGA-PBEsol.

Cell: 4.7556 4.7556 4.7556 Å, 130.94 130.94 71.91°
Fractional coordinates of all 4 atoms:
Cd  0.0000  0.0000  0.0000
Co  0.7500  0.2500  0.5000
W  0.2500  0.7500  0.5000
W  0.5000  0.5000  0.0000

Properties
Volume = 60.0 Å³ per cell
Fermi-level density of states = 4.55 states/eV/cell
ΔE_f = 0.611 eV per atom



No. 3
This record from the Alexandria database describes crystalline Cd2CoW at its relaxed geometry. The functional is GGA-PBEsol.

Cell: 3.8536 3.8536 4.2958 Å, 90.00 90.00 90.00°
Fractional coordinates of all 4 atoms:
Cd  0.0000  0.5000  0.0000
Cd  0.5000  0.0000  0.0000
Co  0.0000  0.0000  0.5000
W  0.5000  0.5000  0.5000

Properties
Volume = 63.8 Å³ per cell
Fermi-level density of states = 4.27 states/eV/cell
ΔE_f = 0.682 eV per atom



- The highest volume belongs to which entry?
  TlCd2Co



- Look up the volume of the second one.
  60.0 Å³ per cell



- What is the formula in the second record?
  CdCoW2